a) Entry from the Alexandria database: an optimized crystal structure of PmSm2Au3 (GGA-PBE).

POSCAR file:
```
PmSm2Au3
1.0
-2.971 -1.206 -4.126
4.967 -1.844 -6.347
0.008 -7.014 2.045
Sm Au Pm
4 6 2
Direct
0.667 0.666 0.500
0.333 0.334 0.500
0.000 0.000 0.500
0.000 0.000 0.000
0.500 0.000 0.251
0.166 0.668 0.252
0.834 0.332 0.748
0.166 0.668 0.748
0.500 0.000 0.749
0.834 0.332 0.252
0.667 0.667 0.000
0.333 0.333 0.000
```

D(E_F)	0.67	states/eV/atom
total magnetization	0.00	μB per formula unit
SG	Cmmm, No. 65

---

b) Entry from the Alexandria database: an optimized crystal structure of PmSm2Au3 (GGA-PBE).

POSCAR file:
```
PmSm2Au3
1.0
4.476 0.000 0.000
0.000 6.512 0.000
-2.238 0.000 11.061
Au Pm Sm
6 2 4
Direct
0.732 0.750 0.464
0.432 0.467 0.865
0.568 0.967 0.135
0.268 0.250 0.536
0.432 0.033 0.865
0.568 0.533 0.135
0.321 0.750 0.641
0.679 0.250 0.359
0.142 0.750 0.285
0.971 0.750 0.942
0.029 0.250 0.058
0.858 0.250 0.715
```

D(E_F)	0.87	states/eV/atom
total magnetization	0.00	μB per formula unit
SG	Cmcm, No. 63

---

The least stable of them is b).

---

a) Entry from the Alexandria database: an optimized crystal structure of PmSmAu2 (GGA-PBE).

POSCAR file:
```
PmSmAu2
1.0
3.682 0.000 0.000
0.000 3.682 0.000
0.000 0.000 7.367
Sm Au Pm
1 2 1
Direct
0.500 0.500 0.000
0.000 0.000 0.246
0.000 0.000 0.754
0.500 0.500 0.500
```

D(E_F)	0.60	states/eV/atom
total magnetization	0.00	μB per formula unit
SG	P4/mmm, No. 123

---

b) Entry from the Alexandria database: an optimized crystal structure of PmSmAu2 (GGA-PBE).

POSCAR file:
```
PmSmAu2
1.0
-2.091 -3.147 -0.722
3.842 -2.126 -1.862
2.374 -0.462 5.426
Au Pm Sm
2 1 1
Direct
0.170 0.500 0.879
0.996 0.000 0.531
0.444 0.500 0.429
0.721 0.000 0.980
```

D(E_F)	0.59	states/eV/atom
total magnetization	0.00	μB per formula unit
SG	Pm, No. 6

---

The least stable of them is a).

---

a) Entry from the Alexandria database: an optimized crystal structure of Pm3SmAu4 (GGA-PBE).

POSCAR file:
```
Pm3SmAu4
1.0
-0.500 0.913 3.726
-6.402 -3.189 -0.078
6.865 -5.770 0.326
Au Pm Sm
4 3 1
Direct
0.629 0.427 0.259
0.371 0.573 0.741
0.629 0.831 0.258
0.371 0.169 0.742
0.000 0.500 0.000
0.204 0.204 0.408
0.796 0.796 0.592
0.500 0.000 0.000
```

D(E_F)	1.02	states/eV/atom
total magnetization	0.00	μB per formula unit
SG	Immm, No. 71

---

b) Entry from the Alexandria database: an optimized crystal structure of Pm3SmAu4 (GGA-PBE).

POSCAR file:
```
Pm3SmAu4
1.0
-3.827 -4.897 -1.509
4.787 0.346 -4.228
2.394 -0.893 5.863
Au Pm Sm
4 3 1
Direct
0.000 0.500 0.000
0.500 0.000 0.000
0.000 0.000 0.500
0.500 0.500 0.500
0.500 0.000 0.500
0.500 0.500 0.000
0.000 0.500 0.500
0.000 0.000 0.000
```

D(E_F)	1.09	states/eV/atom
total magnetization	0.00	μB per formula unit
SG	Im-3m, No. 229

---

The least stable of them is a).

---

a) Entry from the Alexandria database: an optimized crystal structure of Pm2SmAu (GGA-PBE).

POSCAR file:
```
Pm2SmAu
1.0
3.701 0.000 0.000
0.000 5.524 0.000
0.000 0.000 5.524
Sm Pm Au
1 2 1
Direct
0.500 0.500 0.500
0.000 0.500 0.000
0.000 0.000 0.500
0.500 0.000 0.000
```

D(E_F)	1.25	states/eV/atom
total magnetization	0.00	μB per formula unit
SG	P4/mmm, No. 123

---

b) Entry from the Alexandria database: an optimized crystal structure of Pm2SmAu (GGA-PBE).

POSCAR file:
```
Pm2SmAu
1.0
6.750 0.000 0.000
0.000 7.140 0.000
0.000 0.000 10.170
Au Pm Sm
4 8 4
Direct
0.441 0.898 0.250
0.941 0.602 0.750
0.559 0.102 0.750
0.059 0.398 0.250
0.820 0.307 0.554
0.320 0.193 0.446
0.180 0.693 0.446
0.680 0.807 0.554
0.320 0.193 0.054
0.820 0.307 0.946
0.680 0.807 0.946
0.180 0.693 0.054
0.370 0.488 0.750
0.630 0.512 0.250
0.870 0.012 0.250
0.130 0.988 0.750
```

D(E_F)	1.07	states/eV/atom
total magnetization	0.00	μB per formula unit
SG	Pnma, No. 62

---

c) Entry from the Alexandria database: an optimized crystal structure of Pm2SmAu (GGA-PBE).

POSCAR file:
```
Pm2SmAu
1.0
-0.107 2.591 2.661
-3.001 1.509 -1.590
-5.088 -5.101 4.763
Pm Sm Au
2 1 1
Direct
0.000 0.000 0.208
0.000 0.000 0.792
0.500 0.500 0.500
0.500 0.500 0.000
```

D(E_F)	1.51	states/eV/atom
total magnetization	0.00	μB per formula unit
SG	P4/mmm, No. 123

---

The least stable of them is a).

---

a) Entry from the Alexandria database: an optimized crystal structure of Pm2SmAu (GGA-PBE).

POSCAR file:
```
Pm2SmAu
1.0
-0.172 0.462 -3.776
2.823 -1.289 -2.206
-3.844 -9.143 -2.864
Pm Sm Au
2 1 1
Direct
0.070 0.070 0.790
0.263 0.263 0.210
0.500 0.500 0.500
0.667 0.667 0.000
```

D(E_F)	1.27	states/eV/atom
total magnetization	0.00	μB per formula unit
SG	R3m, No. 160

---

b) Entry from the Alexandria database: an optimized crystal structure of Pm2SmAu (GGA-PBE).

POSCAR file:
```
Pm2SmAu
1.0
-0.661 -3.050 1.778
-1.860 -2.634 -1.582
8.998 -6.397 -4.002
Pm Sm Au
2 1 1
Direct
0.082 0.082 0.753
0.918 0.918 0.247
0.500 0.500 0.500
0.000 0.000 0.000
```

D(E_F)	1.03	states/eV/atom
total magnetization	0.00	μB per formula unit
SG	R-3m, No. 166

---

The least stable of them is b).

---

a) Entry from the Alexandria database: an optimized crystal structure of Pm2SmAu4 (GGA-PBE).

POSCAR file:
```
Pm2SmAu4
1.0
-0.365 0.632 5.354
4.113 -3.437 0.686
2.989 7.152 -3.367
Au Pm Sm
4 2 1
Direct
0.810 0.810 0.621
0.000 0.500 0.000
0.500 0.000 0.000
0.190 0.190 0.379
0.382 0.382 0.764
0.618 0.618 0.236
0.000 0.000 0.000
```

D(E_F)	0.72	states/eV/atom
total magnetization	0.00	μB per formula unit
SG	I4/mmm, No. 139

---

b) Entry from the Alexandria database: an optimized crystal structure of Pm2SmAu4 (GGA-PBE).

POSCAR file:
```
Pm2SmAu4
1.0
5.068 0.000 -1.615
-0.515 5.041 -1.615
-0.397 -0.440 7.510
Au Pm Sm
4 2 1
Direct
0.119 0.619 0.238
0.619 0.119 0.238
0.881 0.381 0.762
0.381 0.881 0.762
0.722 0.722 0.444
0.278 0.278 0.556
0.000 0.000 0.000
```

D(E_F)	0.80	states/eV/atom
total magnetization	0.00	μB per formula unit
SG	I4/mmm, No. 139

---

The least stable of them is a).